# PBE Na3In2Ag7, relaxed
data_Na3In2Ag7
_chemical_formula_sum 'Na9 In6 Ag21'
_space_group_name_H-M_alt 'R -3 m'
_space_group_IT_number 166
_space_group_name_Hall '-R 3 2"'
_cell_length_a 5.7538
_cell_length_b 5.7538
_cell_length_c 28.0865
_cell_angle_alpha 90.00
_cell_angle_beta 90.00
_cell_angle_gamma 120.00
loop_
_atom_site_label
_atom_site_fract_x
_atom_site_fract_y
_atom_site_fract_z
Na1 0.0000 0.0000 0.0000
Na2 0.0000 0.0000 0.1431
In1 0.0000 0.0000 0.3328
Ag1 0.0000 0.0000 0.5000
Ag2 0.0020 0.5010 0.9148
# **Energy of formation from the pure elements**: -0.9 eV per formula unit